1.
Here is a relaxed structure of Th8Ge3CSe4 from the Alexandria database. Energies are from GGA-PBE.

Cell lengths 8.458, 8.458, 8.458 Å; angles 59.61, 59.61, 59.61 degrees
Sites, in units of the cell vectors:
Th: 0.247 0.247 0.247
Th: 0.269 0.726 0.726
Th: 0.274 0.274 0.731
Th: 0.274 0.731 0.274
Th: 0.726 0.269 0.726
Th: 0.726 0.726 0.269
Th: 0.731 0.274 0.274
Th: 0.753 0.753 0.753
Ge: 0.000 0.000 0.500
Ge: 0.000 0.500 0.000
Ge: 0.500 0.000 0.000
C: 0.500 0.500 0.500
Se: 0.000 0.000 0.000
Se: 0.000 0.500 0.500
Se: 0.500 0.000 0.500
Se: 0.500 0.500 0.000

Properties
crystal system = trigonal
E_tot = -0.5273 Ry per atom
Fermi-level density of states = 0.33 states/eV/atom

2.
Here is a relaxed structure of RbInPb from the Alexandria database. Energies are from GGA-PBE.

Cell lengths 5.422, 6.890, 6.936 Å; angles 83.34, 67.00, 66.83 degrees
Sites, in units of the cell vectors:
Rb: 0.076 0.177 0.172
Rb: 0.924 0.823 0.828
In: 0.348 0.231 0.574
In: 0.652 0.769 0.426
Pb: 0.336 0.580 0.246
Pb: 0.664 0.420 0.754

Properties
crystal system = triclinic
Fermi-level density of states = 0.22 states/eV/atom
ΔE_f = -0.1572 eV/atom

3.
Here is a relaxed structure of Tb2Nd5Tm6 from the Alexandria database. Energies are from GGA-PBE.

Cell lengths 11.616, 20.472, 3.584 Å; angles 90.00, 90.00, 90.00 degrees
Sites, in units of the cell vectors:
Tb: 0.172 0.211 0.000
Tb: 0.328 0.711 0.000
Tb: 0.672 0.289 0.000
Tb: 0.828 0.789 0.000
Nd: 0.000 0.500 0.500
Nd: 0.083 0.773 0.500
Nd: 0.199 0.050 0.500
Nd: 0.301 0.550 0.500
Nd: 0.417 0.273 0.500
Nd: 0.500 0.000 0.500
Nd: 0.583 0.727 0.500
Nd: 0.699 0.450 0.500
Nd: 0.801 0.950 0.500
Nd: 0.917 0.227 0.500
Tm: 0.062 0.919 0.000
Tm: 0.079 0.631 0.000
Tm: 0.177 0.363 0.500
Tm: 0.323 0.863 0.500
Tm: 0.421 0.131 0.000
Tm: 0.438 0.419 0.000
Tm: 0.562 0.581 0.000
Tm: 0.579 0.869 0.000
Tm: 0.677 0.137 0.500
Tm: 0.823 0.637 0.500
Tm: 0.921 0.369 0.000
Tm: 0.938 0.081 0.000

Properties
crystal system = orthorhombic
Fermi-level density of states = 1.20 states/eV/atom
ΔE_f = 0.0962 eV/atom

4.
Here is a relaxed structure of HoSc3Cd from the Alexandria database. Energies are from GGA-PBE.

Cell lengths 6.336, 6.336, 12.022 Å; angles 93.65, 93.65, 31.35 degrees
Sites, in units of the cell vectors:
Ho: 0.239 0.239 0.262
Ho: 0.761 0.761 0.738
Sc: 0.031 0.031 0.683
Sc: 0.150 0.150 0.943
Sc: 0.367 0.367 0.519
Sc: 0.633 0.633 0.481
Sc: 0.850 0.850 0.057
Sc: 0.969 0.969 0.317
Cd: 0.444 0.444 0.875
Cd: 0.556 0.556 0.125

Properties
crystal system = monoclinic
Fermi-level density of states = 1.59 states/eV/atom
E above lowest polymorph = 0.000 eV/atom
ΔE_f = -0.0859 eV/atom

5.
Here is a relaxed structure of RbCe4S8 from the Alexandria database. Energies are from GGA-PBE.

Cell lengths 8.284, 8.284, 10.666 Å; angles 125.03, 125.03, 60.05 degrees
Sites, in units of the cell vectors:
Rb: 0.000 0.000 0.000
Ce: 0.252 0.748 0.500
Ce: 0.264 0.264 0.527
Ce: 0.736 0.736 0.473
Ce: 0.748 0.252 0.500
S: 0.009 0.009 0.339
S: 0.012 0.483 0.328
S: 0.483 0.012 0.328
S: 0.490 0.490 0.320
S: 0.510 0.510 0.680
S: 0.517 0.988 0.672
S: 0.988 0.517 0.672
S: 0.991 0.991 0.661

Properties
crystal system = monoclinic
E_tot = -0.4568 Ry per atom
Fermi-level density of states = 0.81 states/eV/atom

6.
Here is a relaxed structure of TlSbSeBr2 from the Alexandria database. Energies are from GGA-PBE.

Cell lengths 5.727, 5.727, 5.379 Å; angles 90.00, 90.00, 90.00 degrees
Sites, in units of the cell vectors:
Tl: 0.000 0.000 0.000
Sb: 0.500 0.500 0.500
Se: 0.500 0.500 0.000
Br: 0.000 0.500 0.500
Br: 0.500 0.000 0.500

Properties
crystal system = tetragonal
Fermi-level density of states = 0.26 states/eV/atom
E above lowest polymorph = 0.000 eV/atom

7.
Here is a relaxed structure of YCd2Cl from the Alexandria database. Energies are from GGA-PBE.

Cell lengths 6.266, 6.266, 6.266 Å; angles 147.07, 126.99, 63.83 degrees
Sites, in units of the cell vectors:
Y: 0.000 0.000 0.000
Cd: 0.261 0.761 0.500
Cd: 0.527 0.527 0.000
Cl: 0.809 0.309 0.500

Properties
crystal system = orthorhombic
Fermi-level density of states = 0.47 states/eV/atom
E above lowest polymorph = 0.076 eV/atom

8.
Here is a relaxed structure of NaNi2Hg4 from the Alexandria database. Energies are from GGA-PBE.

Cell lengths 7.787, 7.787, 7.787 Å; angles 140.67, 140.67, 56.84 degrees
Sites, in units of the cell vectors:
Na: 0.000 0.000 0.000
Ni: 0.419 0.419 0.000
Ni: 0.581 0.581 0.000
Hg: 0.000 0.500 0.500
Hg: 0.233 0.233 0.000
Hg: 0.500 0.000 0.500
Hg: 0.767 0.767 0.000

Properties
crystal system = tetragonal
Fermi-level density of states = 0.59 states/eV/atom
ΔE_f = 0.4295 eV/atom

9.
Here is a relaxed structure of BaIrF from the Alexandria database. Energies are from GGA-PBE.

Cell lengths 4.183, 4.183, 9.362 Å; angles 104.43, 104.43, 63.54 degrees
Sites, in units of the cell vectors:
Ba: 0.000 0.000 0.000
Ba: 0.221 0.221 0.572
Ir: 0.436 0.436 0.287
Ir: 0.791 0.791 0.287
F: 0.608 0.608 0.885
F: 0.914 0.914 0.687

Properties
crystal system = monoclinic
Fermi-level density of states = 0.62 states/eV/atom
E above lowest polymorph = 0.033 eV/atom

10.
Here is a relaxed structure of In2Co2Hg from the Alexandria database. Energies are from GGA-PBE.

Cell lengths 6.310, 6.310, 6.310 Å; angles 142.07, 142.07, 54.73 degrees
Sites, in units of the cell vectors:
In: 0.250 0.750 0.500
In: 0.750 0.250 0.500
Co: 0.099 0.099 0.000
Co: 0.901 0.901 0.000
Hg: 0.500 0.500 0.000

Properties
crystal system = tetragonal
Fermi-level density of states = 1.43 states/eV/atom
E above lowest polymorph = 0.281 eV/atom
ΔE_f = 0.4636 eV/atom

11.
Here is a relaxed structure of BaNiS2 from the Alexandria database. Energies are from GGA-PBE.

Cell lengths 4.427, 4.427, 8.981 Å; angles 90.00, 90.00, 90.00 degrees
Sites, in units of the cell vectors:
Ba: 0.250 0.250 0.198
Ba: 0.750 0.750 0.802
Ni: 0.250 0.250 0.585
Ni: 0.750 0.750 0.415
S: 0.250 0.250 0.842
S: 0.250 0.750 0.500
S: 0.750 0.250 0.500
S: 0.750 0.750 0.158

Properties
crystal system = tetragonal
E_tot = -0.3804 Ry per atom
Fermi-level density of states = 0.62 states/eV/atom

12.
Here is a relaxed structure of VTc2Ge from the Alexandria database. Energies are from GGA-PBE.

Cell lengths 4.251, 4.251, 3.102 Å; angles 90.00, 90.00, 90.00 degrees
Sites, in units of the cell vectors:
V: 0.000 0.000 0.000
Tc: 0.000 0.500 0.500
Tc: 0.500 0.000 0.500
Ge: 0.500 0.500 0.000

Properties
crystal system = tetragonal
Fermi-level density of states = 0.68 states/eV/atom
ΔE_f = -0.2379 eV/atom